[1]
# PuMgHgPb PBE-GGA optimized geometry
data_PuMgHgPb
_symmetry_space_group_name_H-M 'F -4 3 m'
_symmetry_Int_Tables_number 216
_symmetry_space_group_name_Hall 'F -4 2 3'
_cell_length_a 7.448
_cell_length_b 7.448
_cell_length_c 7.448
_cell_angle_alpha 90.00
_cell_angle_beta 90.00
_cell_angle_gamma 90.00
loop_
_atom_site_label
_atom_site_type_symbol
_atom_site_fract_x
_atom_site_fract_y
_atom_site_fract_z
_atom_site_occupancy
Pu1 Pu 0.000 0.000 0.000 1
Mg1 Mg 0.000 0.000 0.500 1
Hg1 Hg 0.250 0.250 0.250 1
Pb1 Pb 0.250 0.250 0.750 1
# electronic total energy = -5.16 eV/atom
# total magnetic moment = 5.877 μB/f.u.
# theoretical density = 10.87 g/cm3
# energy of formation from the pure elements = -0.177 eV/atom

[2]
# LiPm2NdTl4 PBE-GGA optimized geometry
data_LiPm2NdTl4
_symmetry_space_group_name_H-M 'R -3 m'
_symmetry_Int_Tables_number 166
_symmetry_space_group_name_Hall '-R 3 2"'
_cell_length_a 5.3368
_cell_length_b 5.3368
_cell_length_c 27.2116
_cell_angle_alpha 90.00
_cell_angle_beta 90.00
_cell_angle_gamma 120.00
loop_
_atom_site_label
_atom_site_type_symbol
_atom_site_fract_x
_atom_site_fract_y
_atom_site_fract_z
_atom_site_occupancy
Li1 Li 0.0000 0.0000 0.0000 1
Pm1 Pm 0.0000 0.0000 0.2561 1
Nd1 Nd 0.0000 0.0000 0.5000 1
Tl1 Tl 0.0000 0.0000 0.1231 1
Tl2 Tl 0.0000 0.0000 0.3731 1
# electronic total energy = -3.56 eV/atom
# total magnetic moment = 0.000 μB/f.u.
# theoretical density = 9.34 g/cm3
# energy of formation from the pure elements = -0.353 eV/atom

[3]
# CaH12Pt4 PBE-GGA optimized geometry
data_CaH12Pt4
_symmetry_space_group_name_H-M 'I m -3'
_symmetry_Int_Tables_number 204
_symmetry_space_group_name_Hall '-I 2 2 3'
_cell_length_a 7.010
_cell_length_b 7.010
_cell_length_c 7.010
_cell_angle_alpha 90.00
_cell_angle_beta 90.00
_cell_angle_gamma 90.00
loop_
_atom_site_label
_atom_site_type_symbol
_atom_site_fract_x
_atom_site_fract_y
_atom_site_fract_z
_atom_site_occupancy
Ca1 Ca 0.000 0.000 0.000 1
H1 H 0.000 0.255 0.257 1
Pt1 Pt 0.250 0.250 0.250 1
# electronic total energy = -4.09 eV/atom
# total magnetic moment = 0.000 μB/f.u.
# theoretical density = 8.03 g/cm3

[4]
# KVBiS4 PBE-GGA optimized geometry
data_KVBiS4
_symmetry_space_group_name_H-M 'P 1 21/m 1'
_symmetry_Int_Tables_number 11
_cell_length_a 6.661
_cell_length_b 6.969
_cell_length_c 8.731
_cell_angle_alpha 90.00
_cell_angle_beta 107.76
_cell_angle_gamma 90.00
loop_
_symmetry_equiv_pos_as_xyz
'x,y,z'
'-x,-y,-z'
'-x,y+1/2,-z'
'x,-y+1/2,z'
loop_
_atom_site_label
_atom_site_type_symbol
_atom_site_fract_x
_atom_site_fract_y
_atom_site_fract_z
_atom_site_occupancy
K1 K 0.222 0.250 0.431 1
V1 V 0.282 0.750 0.186 1
Bi1 Bi 0.268 0.250 0.957 1
S1 S 0.068 0.750 0.334 1
S2 S 0.076 0.750 0.934 1
S3 S 0.497 0.503 0.215 1
# ΔE_f (raw) = -0.744 eV/atom
# electronic total energy = -5.12 eV/atom
# total magnetic moment = 1.008 μB/f.u.
# theoretical density = 3.68 g/cm3

[5]
# TiVCuW PBE-GGA optimized geometry
data_TiVCuW
_symmetry_space_group_name_H-M 'F -4 3 m'
_symmetry_Int_Tables_number 216
_symmetry_space_group_name_Hall 'F -4 2 3'
_cell_length_a 6.151
_cell_length_b 6.151
_cell_length_c 6.151
_cell_angle_alpha 90.00
_cell_angle_beta 90.00
_cell_angle_gamma 90.00
loop_
_atom_site_label
_atom_site_type_symbol
_atom_site_fract_x
_atom_site_fract_y
_atom_site_fract_z
_atom_site_occupancy
Ti1 Ti 0.000 0.000 0.000 1
V1 V 0.000 0.000 0.500 1
Cu1 Cu 0.250 0.250 0.750 1
W1 W 0.250 0.250 0.250 1
# electronic total energy = -8.45 eV/atom
# total magnetic moment = 0.003 μB/f.u.
# theoretical density = 9.88 g/cm3
# energy of formation from the pure elements = 0.063 eV/atom

[6]
# TaBC PBE-GGA optimized geometry
data_TaBC
_symmetry_space_group_name_H-M 'P 63/m m c'
_symmetry_Int_Tables_number 194
_symmetry_space_group_name_Hall '-P 6c 2c'
_cell_length_a 2.8713
_cell_length_b 2.8713
_cell_length_c 7.6549
_cell_angle_alpha 90.00
_cell_angle_beta 90.00
_cell_angle_gamma 120.00
loop_
_atom_site_label
_atom_site_type_symbol
_atom_site_fract_x
_atom_site_fract_y
_atom_site_fract_z
_atom_site_occupancy
Ta1 Ta 0.0000 0.0000 0.0000 1
B1 B 0.3333 0.6667 0.2500 1
C1 C 0.3333 0.6667 0.7500 1
# polymorph energy (0 for the lowest one) = 0.000 eV per atom
# electronic total energy = -9.10 eV/atom
# total magnetic moment = 0.000 μB/f.u.
# theoretical density = 12.38 g/cm3
# energy of formation from the pure elements = 0.148 eV/atom

[7]
# AgSe3 PBE-GGA optimized geometry
data_AgSe3
_symmetry_space_group_name_H-M 'I m m m'
_symmetry_Int_Tables_number 71
_symmetry_space_group_name_Hall '-I 2 2'
_cell_length_a 4.045
_cell_length_b 4.234
_cell_length_c 10.918
_cell_angle_alpha 90.00
_cell_angle_beta 90.00
_cell_angle_gamma 90.00
loop_
_atom_site_label
_atom_site_type_symbol
_atom_site_fract_x
_atom_site_fract_y
_atom_site_fract_z
_atom_site_occupancy
Ag1 Ag 0.000 0.000 0.000 1
Se1 Se 0.000 0.000 0.500 1
Se2 Se 0.000 0.500 0.170 1
# ΔE_f (raw) = 0.234 eV/atom
# electronic total energy = -3.09 eV/atom
# total magnetic moment = 0.000 μB/f.u.
# theoretical density = 6.12 g/cm3

[8]
# MgTc2Pb PBE-GGA optimized geometry
data_MgTc2Pb
_symmetry_space_group_name_H-M 'P 1 2/m 1'
_symmetry_Int_Tables_number 10
_cell_length_a 3.007
_cell_length_b 4.647
_cell_length_c 5.343
_cell_angle_alpha 90.00
_cell_angle_beta 94.17
_cell_angle_gamma 90.00
loop_
_symmetry_equiv_pos_as_xyz
'x,y,z'
'-x,-y,-z'
'-x,y,-z'
'x,-y,z'
loop_
_atom_site_label
_atom_site_type_symbol
_atom_site_fract_x
_atom_site_fract_y
_atom_site_fract_z
_atom_site_occupancy
Mg1 Mg 0.000 0.000 0.000 1
Tc1 Tc 0.348 0.500 0.790 1
Pb1 Pb 0.500 0.000 0.500 1
# polymorph energy (0 for the lowest one) = 0.379 eV per atom
# electronic total energy = -6.01 eV/atom
# total magnetic moment = 0.498 μB/f.u.
# theoretical density = 9.53 g/cm3
# energy of formation from the pure elements = 0.501 eV/atom

[9]
# NaTiTeO6 PBE-GGA optimized geometry
data_NaTiTeO6
_symmetry_space_group_name_H-M 'P -3 1 c'
_symmetry_Int_Tables_number 163
_symmetry_space_group_name_Hall '-P 3 2c'
_cell_length_a 5.2803
_cell_length_b 5.2803
_cell_length_c 10.1337
_cell_angle_alpha 90.00
_cell_angle_beta 90.00
_cell_angle_gamma 120.00
loop_
_atom_site_label
_atom_site_type_symbol
_atom_site_fract_x
_atom_site_fract_y
_atom_site_fract_z
_atom_site_occupancy
Na1 Na 0.0000 0.0000 0.0000 1
Ti1 Ti 0.3333 0.6667 0.2500 1
Te1 Te 0.3333 0.6667 0.7500 1
O1 O 0.0050 0.3802 0.6449 1
# ΔE_f (raw) = -1.640 eV/atom
# electronic total energy = -6.32 eV/atom
# total magnetic moment = 1.057 μB/f.u.
# theoretical density = 4.00 g/cm3

[10]
# Ni2OsCl PBE-GGA optimized geometry
data_Ni2OsCl
_symmetry_space_group_name_H-M 'F m -3 m'
_symmetry_Int_Tables_number 225
_symmetry_space_group_name_Hall '-F 4 2 3'
_cell_length_a 6.051
_cell_length_b 6.051
_cell_length_c 6.051
_cell_angle_alpha 90.00
_cell_angle_beta 90.00
_cell_angle_gamma 90.00
loop_
_atom_site_label
_atom_site_type_symbol
_atom_site_fract_x
_atom_site_fract_y
_atom_site_fract_z
_atom_site_occupancy
Ni1 Ni 0.250 0.250 0.250 1
Os1 Os 0.000 0.000 0.000 1
Cl1 Cl 0.000 0.000 0.500 1
# polymorph energy (0 for the lowest one) = 0.839 eV per atom
# ΔE_f (raw) = 1.108 eV/atom
# electronic total energy = -5.05 eV/atom
# total magnetic moment = 2.352 μB/f.u.
# theoretical density = 10.28 g/cm3

[11]
# MoRh2SeBr PBE-GGA optimized geometry
data_MoRh2SeBr
_symmetry_space_group_name_H-M 'P 4/m m m'
_symmetry_Int_Tables_number 123
_symmetry_space_group_name_Hall '-P 4 2'
_cell_length_a 4.845
_cell_length_b 4.845
_cell_length_c 4.771
_cell_angle_alpha 90.00
_cell_angle_beta 90.00
_cell_angle_gamma 90.00
loop_
_atom_site_label
_atom_site_type_symbol
_atom_site_fract_x
_atom_site_fract_y
_atom_site_fract_z
_atom_site_occupancy
Mo1 Mo 0.000 0.000 0.000 1
Rh1 Rh 0.000 0.500 0.000 1
Se1 Se 0.000 0.000 0.500 1
Br1 Br 0.500 0.500 0.500 1
# ΔE_f (raw) = 0.887 eV/atom
# electronic total energy = -5.25 eV/atom
# total magnetic moment = 0.000 μB/f.u.
# theoretical density = 6.83 g/cm3

[12]
# KSn2Os PBE-GGA optimized geometry
data_KSn2Os
_symmetry_space_group_name_H-M 'F m -3 m'
_symmetry_Int_Tables_number 225
_symmetry_space_group_name_Hall '-F 4 2 3'
_cell_length_a 6.973
_cell_length_b 6.973
_cell_length_c 6.973
_cell_angle_alpha 90.00
_cell_angle_beta 90.00
_cell_angle_gamma 90.00
loop_
_atom_site_label
_atom_site_type_symbol
_atom_site_fract_x
_atom_site_fract_y
_atom_site_fract_z
_atom_site_occupancy
K1 K 0.000 0.000 0.000 1
Sn1 Sn 0.250 0.250 0.250 1
Os1 Os 0.000 0.000 0.500 1
# polymorph energy (0 for the lowest one) = 0.222 eV per atom
# electronic total energy = -4.54 eV/atom
# total magnetic moment = 0.000 μB/f.u.
# theoretical density = 9.14 g/cm3
# energy of formation from the pure elements = 0.539 eV/atom

- Which formula does entry 6 have?
  TaBC

- What is the theoretical density in the eighth record?
  9.53 g/cm3